First-principles (GGA-PBE) data for a geometry-optimized La4TbSm2Sc structure, as listed in the Alexandria database.

uncorrected energy	-4.9826	eV per atom
crystal system	orthorhombic
magnetic moment	0.0000	μB per atom
Fermi-level density of states	11.58	states/eV/f.u.
mass density	6.52	g/cm³
calculated volume	33.8	Å³/atom
energy of formation from the pure elements	31	meV per atom
space-group type	Pmmm

a b c (Å): 5.1740 5.2025 10.0344
angles (deg): 90.00 90.00 90.00
Closest atoms and distances in Å follow each position.
Positions (direct):
La (0.0000, 0.0000, 0.2450)  2 Sc 3.57, 4 Sm 3.58-3.64, 2 Tb 3.65, 4 La 3.67
La (0.0000, 0.0000, 0.7550)  2 Sc 3.57, 4 Sm 3.58-3.64, 2 Tb 3.65, 4 La 3.67
La (0.5000, 0.5000, 0.2453)  4 Sm 3.57-3.65, 2 Sc 3.58, 2 Tb 3.64, 4 La 3.67
La (0.5000, 0.5000, 0.7547)  4 Sm 3.57-3.65, 2 Sc 3.58, 2 Tb 3.64, 4 La 3.67
Tb (0.0000, 0.5000, 0.5000)  8 La 3.64-3.65, 4 Sm 3.67
Sm (0.0000, 0.5000, 0.0000)  8 La 3.57-3.58, 4 Sc 3.67
Sm (0.5000, 0.0000, 0.5000)  8 La 3.64-3.65, 4 Tb 3.67
Sc (0.5000, 0.0000, 0.0000)  8 La 3.57-3.58, 4 Sm 3.67

---

First-principles (GGA-PBE) data for a geometry-optimized NaFeN3 structure, as listed in the Alexandria database.

raw formation energy	1.028	eV/atom
uncorrected energy	-5.9234	eV per atom
crystal system	cubic
magnetic moment	0.0004	μB per atom
Fermi-level density of states	6.31	states/eV/f.u.
mass density	4.01	g/cm³
calculated volume	10.0	Å³/atom
space-group type	Pm-3m

a b c (Å): 3.6856 3.6856 3.6856
angles (deg): 90.00 90.00 90.00
Closest atoms and distances in Å follow each position.
Positions (direct):
Na (0.0000, 0.0000, 0.0000)  12 N 2.61
Fe (0.5000, 0.5000, 0.5000)  6 N 1.84
N (0.0000, 0.5000, 0.5000)  2 Fe 1.84
N (0.5000, 0.0000, 0.5000)  2 Fe 1.84
N (0.5000, 0.5000, 0.0000)  2 Fe 1.84

---

First-principles (GGA-PBE) data for a geometry-optimized Y3ErHg structure, as listed in the Alexandria database.

uncorrected energy	-4.8701	eV per atom
crystal system	trigonal
magnetic moment	0.0000	μB per atom
Fermi-level density of states	7.39	states/eV/f.u.
mass density	6.54	g/cm³
calculated volume	32.2	Å³/atom
energy of formation from the pure elements	-19	meV per atom
space-group type	R-3m

a b c (Å): 8.3924 8.3924 8.3924
angles (deg): 50.28 50.28 50.28
Closest atoms and distances in Å follow each position.
Positions (direct):
Y (0.1064, 0.1064, 0.6036)  2 Hg 3.09-3.10, 2 Y 3.39
Y (0.1064, 0.6036, 0.1064)  2 Hg 3.09-3.10, 2 Y 3.39
Y (0.3964, 0.8936, 0.8936)  2 Hg 3.09-3.10, 2 Y 3.39
Y (0.6036, 0.1064, 0.1064)  2 Hg 3.09-3.10, 2 Y 3.39
Y (0.8936, 0.3964, 0.8936)  2 Hg 3.09-3.10, 2 Y 3.39
Y (0.8936, 0.8936, 0.3964)  2 Hg 3.09-3.10, 2 Y 3.39
Er (0.4106, 0.4106, 0.4106)  9 Y 3.58-3.66, 1 Er 3.92
Er (0.5894, 0.5894, 0.5894)  9 Y 3.58-3.66, 1 Er 3.92
Hg (0.1660, 0.1660, 0.1660)  6 Y 3.09-3.10
Hg (0.8340, 0.8340, 0.8340)  6 Y 3.09-3.10

---

First-principles (GGA-PBE) data for a geometry-optimized YVSiAs2 structure, as listed in the Alexandria database.

raw formation energy	1.245	eV/atom
uncorrected energy	-4.8164	eV per atom
crystal system	tetragonal
magnetic moment	0.0488	μB per atom
Fermi-level density of states	9.62	states/eV/f.u.
mass density	3.60	g/cm³
calculated volume	29.3	Å³/atom
space-group type	P4/mmm

a b c (Å): 5.3013 5.3013 5.2167
angles (deg): 90.00 90.00 90.00
Closest atoms and distances in Å follow each position.
Positions (direct):
Y (0.0000, 0.0000, 0.0000)  2 Si 2.61, 4 As 2.65
V (0.5000, 0.5000, 0.5000)  8 As 3.72, 4 Si 3.75
Si (0.0000, 0.0000, 0.5000)  2 Y 2.61
As (0.0000, 0.5000, 0.0000)  2 Y 2.65
As (0.5000, 0.0000, 0.0000)  2 Y 2.65

---

First-principles (GGA-PBE) data for a geometry-optimized La2PrPt structure, as listed in the Alexandria database.

excess energy over the best structure of this formula in the dataset	0.110	eV per atom
uncorrected energy	-5.6908	eV per atom
crystal system	trigonal
magnetic moment	0.0001	μB per atom
Fermi-level density of states	5.03	states/eV/f.u.
mass density	7.42	g/cm³
calculated volume	34.3	Å³/atom
energy of formation from the pure elements	-522	meV per atom
space-group type	R3m

a b c (Å): 9.8111 9.8111 9.8111
angles (deg): 24.01 24.01 24.01
Closest atoms and distances in Å follow each position.
Positions (direct):
La (0.0000, 0.0000, 0.0000)  3 Pt 2.93
La (0.2110, 0.2110, 0.2110)  3 Pt 2.94
Pr (0.7719, 0.7719, 0.7719)  6 La 3.82-3.83, 6 Pr 4.08
Pt (0.6058, 0.6058, 0.6058)  6 La 2.93-2.94

---

First-principles (GGA-PBE) data for a geometry-optimized RbHfIn2I8 structure, as listed in the Alexandria database.

raw formation energy	-0.748	eV/atom
uncorrected energy	-3.1476	eV per atom
crystal system	triclinic
magnetic moment	0.0000	μB per atom
Fermi-level density of states	5.18	states/eV/f.u.
mass density	4.41	g/cm³
calculated volume	47.3	Å³/atom
space-group type	P-1

a b c (Å): 7.2638 7.8156 10.0065
angles (deg): 89.93 89.77 88.03
Closest atoms and distances in Å follow each position.
Positions (direct):
Rb (0.0000, 0.0000, 0.0000)  6 I 3.57-3.62
Hf (0.0000, 0.0000, 0.5000)  6 I 2.86-2.87
In (0.4993, 0.5001, 0.2461)  4 I 3.13-3.36
In (0.5007, 0.4999, 0.7539)  4 I 3.13-3.36
I (0.2104, 0.3022, 0.5006)  1 Hf 2.86
I (0.2406, 0.8570, 0.7004)  1 Hf 2.87
I (0.2424, 0.8592, 0.2985)  1 Hf 2.87
I (0.2828, 0.3650, 0.0005)  2 In 3.13
I (0.7172, 0.6350, 0.9995)  2 In 3.13
I (0.7576, 0.1408, 0.7015)  1 Hf 2.87
I (0.7594, 0.1430, 0.2996)  1 Hf 2.87
I (0.7896, 0.6978, 0.4994)  1 Hf 2.86

---

First-principles (GGA-PBE) data for a geometry-optimized ScMo structure, as listed in the Alexandria database.

excess energy over the best structure of this formula in the dataset	0.251	eV per atom
uncorrected energy	-8.3544	eV per atom
crystal system	trigonal
magnetic moment	0.0000	μB per atom
Fermi-level density of states	1.45	states/eV/f.u.
mass density	5.50	g/cm³
calculated volume	21.3	Å³/atom
energy of formation from the pure elements	227	meV per atom
space-group type	R-3m

a b c (Å): 5.8063 5.8063 5.8063
angles (deg): 43.78 43.78 43.78
Closest atoms and distances in Å follow each position.
Positions (direct):
Sc (0.1049, 0.1049, 0.1049)  6 Mo 2.87-3.13, 3 Sc 3.16
Sc (0.8951, 0.8951, 0.8951)  6 Mo 2.87-3.13, 3 Sc 3.16
Mo (0.3183, 0.3183, 0.3183)  3 Mo 2.54
Mo (0.6817, 0.6817, 0.6817)  3 Mo 2.54

---

First-principles (GGA-PBE) data for a geometry-optimized Tb6OsRh3 structure, as listed in the Alexandria database.

uncorrected energy	-6.5966	eV per atom
crystal system	orthorhombic
magnetic moment	0.0000	μB per atom
Fermi-level density of states	6.74	states/eV/f.u.
mass density	10.18	g/cm³
calculated volume	23.7	Å³/atom
energy of formation from the pure elements	-490	meV per atom
space-group type	Pnnm

a b c (Å): 8.2200 12.0970 4.7666
angles (deg): 90.00 90.00 90.00
Closest atoms and distances in Å follow each position.
Positions (direct):
Tb (0.0028, 0.2483, 0.0000)  4 Rh 2.93-3.00, 1 Os 3.04
Tb (0.1603, 0.4130, 0.5000)  2 Os 2.92, 3 Rh 2.94-2.98
Tb (0.1725, 0.0799, 0.5000)  1 Os 2.86, 4 Rh 2.94-2.95
Tb (0.3275, 0.5799, 0.0000)  1 Os 2.86, 4 Rh 2.94-2.95
Tb (0.3397, 0.9130, 0.0000)  2 Os 2.92, 3 Rh 2.94-2.98
Tb (0.4972, 0.7483, 0.5000)  4 Rh 2.93-3.00, 1 Os 3.04
Tb (0.5028, 0.2517, 0.5000)  4 Rh 2.93-3.00, 1 Os 3.04
Tb (0.6603, 0.0870, 0.0000)  2 Os 2.92, 3 Rh 2.94-2.98
Tb (0.6725, 0.4201, 0.0000)  1 Os 2.86, 4 Rh 2.94-2.95
Tb (0.8275, 0.9201, 0.5000)  1 Os 2.86, 4 Rh 2.94-2.95
Tb (0.8397, 0.5870, 0.5000)  2 Os 2.92, 3 Rh 2.94-2.98
Tb (0.9972, 0.7517, 0.0000)  4 Rh 2.93-3.00, 1 Os 3.04
Os (0.0000, 0.5000, 0.0000)  8 Tb 2.86-3.04
Os (0.5000, 0.0000, 0.5000)  8 Tb 2.86-3.04
Rh (0.0000, 0.0000, 0.0000)  8 Tb 2.94-3.00
Rh (0.1638, 0.8359, 0.5000)  7 Tb 2.93-2.95
Rh (0.3362, 0.3359, 0.0000)  7 Tb 2.93-2.95
Rh (0.5000, 0.5000, 0.5000)  8 Tb 2.94-3.00
Rh (0.6638, 0.6641, 0.0000)  7 Tb 2.93-2.95
Rh (0.8362, 0.1641, 0.5000)  7 Tb 2.93-2.95

---

Number 6 is which compound? RbHfIn2I8